{
  "formula": "ZrSc2In",
  "functional": "PBE",
  "state": "relaxed",
  "cell": [[5.0468, 0.0000, 0.0000], [2.5234, 4.3706, 0.0000], [2.5234, 1.4569, 4.1207]],
  "species": ["In", "Sc", "Sc", "Zr"],
  "frac_coords": [[0.5000, 0.5000, 0.5000], [0.0000, 0.0000, 0.0000], [0.2500, 0.2500, 0.2500], [0.7500, 0.7500, 0.7500]],
  "ef_mev_per_atom": -105,
  "crystal_system": "cubic",
  "space_group": "F-43m",
  "density_g_cm3": 5.4,
  "e_tot_ev_per_atom": -6.09
}

{
  "formula": "Ba2LiPt4Pb3",
  "functional": "PBE",
  "state": "relaxed",
  "cell": [[4.7785, 0.0000, 0.0000], [0.0000, 4.7785, 0.0000], [0.0000, 0.0000, 11.2788]],
  "species": ["Ba", "Ba", "Li", "Pt", "Pt", "Pt", "Pt", "Pb", "Pb", "Pb"],
  "frac_coords": [[0.5000, 0.0000, 0.2495], [0.0000, 0.5000, 0.7505], [0.5000, 0.5000, 0.5000], [0.5000, 0.5000, 0.0000], [0.0000, 0.0000, 0.0000], [0.5000, 0.0000, 0.6271], [0.0000, 0.5000, 0.3729], [0.0000, 0.0000, 0.5000], [0.5000, 0.0000, 0.8759], [0.0000, 0.5000, 0.1241]],
  "ef_mev_per_atom": -530,
  "crystal_system": "tetragonal",
  "space_group": "P-4m2",
  "density_g_cm3": 10.9,
  "e_tot_ev_per_atom": -4.63
}